Below is a relaxed GeAs2BrCl crystal, with properties calculated at the PBE level.

The space group is P4/mmm (No. 123) and the conventional cell measures 5.118, 5.118 and 5.158 Å, with angles of 90.00, 90.00 and 90.00 degrees. The asymmetric unit holds Ge at (0.000, 0.000, 0.000), As at (0.000, 0.500, 0.000), Br at (0.000, 0.000, 0.500) and Cl at (0.500, 0.500, 0.500).

The crystal system is tetragonal. The calculation puts the total energy at -2.933 eV/atom. Its energy above the most stable polymorph in this dataset is 0.000 eV per atom. The formation energy without anion corrections comes out at 2.8 eV per formula unit.

Below is a relaxed Zn2B2PdPt5 crystal, with properties calculated at the PBE level.

The space group is P4/mbm (No. 127) and the conventional cell measures 9.399, 9.399 and 3.167 Å, with angles of 90.00, 90.00 and 90.00 degrees. The asymmetric unit holds Zn at (0.178, 0.322, 0.000), B at (0.129, 0.629, 0.000), Pd at (0.000, 0.000, 0.000), Pt at (0.000, 0.500, 0.500) and Pt at (0.074, 0.780, 0.500).

Its formation energy is -0.212 eV per atom. The crystal system is tetragonal. The calculation puts the total energy at -5.342 eV/atom.

Below is a relaxed Rb2TeW crystal, with properties calculated at the PBE level.

The space group is I-42d (No. 122) and the conventional cell measures 13.636, 13.636 and 5.199 Å, with angles of 90.00, 90.00 and 90.00 degrees. The asymmetric unit holds Rb at (0.065, 0.250, 0.125), Te at (0.000, 0.000, 0.000) and W at (0.000, 0.000, 0.500).

The crystal system is tetragonal. The calculation puts the total energy at -3.678 eV/atom. The formation energy without anion corrections comes out at 3.3 eV per formula unit.

Below is a relaxed V2Ni6Pd crystal, with properties calculated at the PBE level.

The space group is C2/m (No. 12) and the conventional cell measures 8.143, 3.569 and 7.686 Å, with angles of 90.00, 108.77 and 90.00 degrees. The asymmetric unit holds V at (0.179, 0.000, 0.237), Ni at (0.003, 0.500, 0.338), Ni at (0.166, 0.000, 0.554), Ni at (0.166, 0.000, 0.881) and Pd at (0.000, 0.500, 0.000).

Its formation energy is -0.189 eV per atom. The crystal system is monoclinic. The calculation puts the total energy at -6.646 eV/atom.